[1]
Below is crystalline MgCd2Sb at its relaxed geometry, with properties calculated at the GGA-PBEsol level.

abc: 4.292 4.292 4.914
angles: 90.00 90.00 90.00
Atoms (fractional coordinates):
Sb 0.000 0.000 0.500
Mg 0.500 0.500 0.500
Cd 0.000 0.500 0.000
Cd 0.500 0.000 0.000

Values from the calculation:
For the density of states at the Fermi level, the calculation gives 0.34 states/eV per atom. For the total energy, the calculation gives -2.24 eV per atom. The crystal system is tetragonal.

=====

[2]
Below is crystalline Mg2CdSb at its relaxed geometry, with properties calculated at the GGA-PBEsol level.

abc: 4.283 4.283 5.756
angles: 111.84 111.84 90.00
Atoms (fractional coordinates):
Sb 0.500 0.500 0.000
Mg 0.000 0.000 0.000
Mg 0.750 0.250 0.500
Cd 0.250 0.750 0.500

Values from the calculation:
The energy above the most stable polymorph in this dataset comes out at 0.175 kcal/mol of atoms. For the density of states at the Fermi level, the calculation gives 0.39 states/eV per atom. For the total energy, the calculation gives -2.44 eV per atom. The crystal system is tetragonal.

=====

[3]
Below is crystalline MgCd2Sb at its relaxed geometry, with properties calculated at the GGA-PBEsol level.

abc: 4.395 4.395 5.647
angles: 112.90 112.90 90.00
Atoms (fractional coordinates):
Sb 0.750 0.250 0.500
Mg 0.500 0.500 0.000
Cd 0.000 0.000 0.000
Cd 0.250 0.750 0.500

Values from the calculation:
For the density of states at the Fermi level, the calculation gives 0.34 states/eV per atom. For the total energy, the calculation gives -2.21 eV per atom. The crystal system is tetragonal.

=====

Calculated formation energy from raw total energies in order - -0.07 -0.14 -0.04 eV/atom